Here is a geometry-optimized ZrOs2Au2 structure from the Alexandria database. Energies are from PBE-GGA. Values from VASP.

Cell and atoms, written as Quantum ESPRESSO input:
```
&SYSTEM
  ibrav = 0, nat = 5, ntyp = 3
/
ATOMIC_SPECIES
Os 190.23 Os.upf
Au 196.97 Au.upf
Zr 91.22 Zr.upf
CELL_PARAMETERS angstrom
-0.433 3.662 -0.041
-3.604 -0.434 -0.649
-3.208 1.547 6.308
ATOMIC_POSITIONS angstrom
Os -4.416 1.364 2.657
Os -2.830 3.412 2.961
Au -2.254 1.601 0.971
Au -4.992 3.175 4.647
Zr 0.000 0.000 0.000
```

For the magnetization, the calculation gives 0.00 μB per cell. The value obtained for the offset from the most stable computed form is 0 meV per atom. The electronic total energy comes out at -7.151 eV/atom. The energy of formation comes out at 0.36 eV per atom.

***

Here is a geometry-optimized Zr2OsAu structure from the Alexandria database. Energies are from PBE-GGA. Values from VASP.

Cell and atoms, written as Quantum ESPRESSO input:
```
&SYSTEM
  ibrav = 0, nat = 4, ntyp = 3
/
ATOMIC_SPECIES
Zr 91.22 Zr.upf
Os 190.23 Os.upf
Au 196.97 Au.upf
CELL_PARAMETERS angstrom
-2.460 -2.321 -1.008
1.623 -2.526 1.855
-3.386 1.446 4.932
ATOMIC_POSITIONS angstrom
Zr -3.271 1.397 4.765
Zr -1.341 -2.029 1.767
Os -3.022 -1.312 4.215
Au -1.667 0.712 2.429
```

For the magnetization, the calculation gives 0.00 μB per cell. The electronic total energy comes out at -8.057 eV/atom. The energy of formation comes out at -0.16 eV per atom.

***

Here is a geometry-optimized ZrOsAu3 structure from the Alexandria database. Energies are from PBE-GGA. Values from VASP.

Cell and atoms, written as Quantum ESPRESSO input:
```
&SYSTEM
  ibrav = 0, nat = 5, ntyp = 3
/
ATOMIC_SPECIES
Au 196.97 Au.upf
Zr 91.22 Zr.upf
Os 190.23 Os.upf
CELL_PARAMETERS angstrom
4.945 0.000 0.000
0.000 4.945 0.000
0.000 0.000 4.945
ATOMIC_POSITIONS angstrom
Au 2.472 0.000 0.000
Au 0.000 0.000 2.472
Au 0.000 2.472 0.000
Zr 2.472 2.472 2.472
Os 0.000 0.000 0.000
```

For the magnetization, the calculation gives 0.00 μB per cell. The value obtained for the offset from the most stable computed form is 0 meV per atom. The electronic total energy comes out at -4.787 eV/atom. The energy of formation comes out at 1.13 eV per atom.

***

Here is a geometry-optimized Zr2OsAu structure from the Alexandria database. Energies are from PBE-GGA. Values from VASP.

Cell and atoms, written as Quantum ESPRESSO input:
```
&SYSTEM
  ibrav = 0, nat = 4, ntyp = 3
/
ATOMIC_SPECIES
Zr 91.22 Zr.upf
Au 196.97 Au.upf
Os 190.23 Os.upf
CELL_PARAMETERS angstrom
3.310 0.000 0.000
0.000 6.696 -0.054
0.000 4.058 3.669
ATOMIC_POSITIONS angstrom
Zr 0.000 0.000 0.000
Zr 1.655 3.348 -0.027
Au 1.655 5.377 1.807
Os 0.000 2.029 1.834
```

For the magnetization, the calculation gives 0.00 μB per cell. The electronic total energy comes out at -7.967 eV/atom. The energy of formation comes out at -0.07 eV per atom.

***

Here is a geometry-optimized Zr5Os4Au structure from the Alexandria database. Energies are from PBE-GGA. Values from VASP.

Cell and atoms, written as Quantum ESPRESSO input:
```
&SYSTEM
  ibrav = 0, nat = 10, ntyp = 3
/
ATOMIC_SPECIES
Au 196.97 Au.upf
Zr 91.22 Zr.upf
Os 190.23 Os.upf
CELL_PARAMETERS angstrom
3.261 0.000 0.000
0.000 3.261 0.000
0.000 0.000 17.185
ATOMIC_POSITIONS angstrom
Au 0.000 0.000 0.000
Zr 1.630 1.630 1.934
Zr 1.630 1.630 11.916
Zr 1.630 1.630 5.269
Zr 1.630 1.630 8.592
Zr 1.630 1.630 15.251
Os 0.000 0.000 13.589
Os 0.000 0.000 10.253
Os 0.000 0.000 3.595
Os 0.000 0.000 6.932
```

For the magnetization, the calculation gives 0.00 μB per cell. The electronic total energy comes out at -9.605 eV/atom. The energy of formation comes out at -0.51 eV per atom.

***

Here is a geometry-optimized ZrOsAu2 structure from the Alexandria database. Energies are from PBE-GGA. Values from VASP.

Cell and atoms, written as Quantum ESPRESSO input:
```
&SYSTEM
  ibrav = 0, nat = 4, ntyp = 3
/
ATOMIC_SPECIES
Au 196.97 Au.upf
Os 190.23 Os.upf
Zr 91.22 Zr.upf
CELL_PARAMETERS angstrom
-0.342 -5.423 3.406
1.747 -0.106 -4.602
2.630 -1.312 1.031
ATOMIC_POSITIONS angstrom
Au 0.000 0.000 0.000
Au 1.144 -3.367 2.219
Os 2.189 -0.709 -1.785
Zr 0.703 -2.764 -0.598
```

For the magnetization, the calculation gives 0.00 μB per cell. The value obtained for the offset from the most stable computed form is 242 meV per atom. The electronic total energy comes out at -6.526 eV/atom. The energy of formation comes out at 0.06 eV per atom.

***

Here is a geometry-optimized Zr2OsAu structure from the Alexandria database. Energies are from PBE-GGA. Values from VASP.

Cell and atoms, written as Quantum ESPRESSO input:
```
&SYSTEM
  ibrav = 0, nat = 4, ntyp = 3
/
ATOMIC_SPECIES
Zr 91.22 Zr.upf
Os 190.23 Os.upf
Au 196.97 Au.upf
CELL_PARAMETERS angstrom
-0.459 1.450 -5.497
-0.974 -4.031 -3.916
-1.892 2.469 4.780
ATOMIC_POSITIONS angstrom
Zr -1.536 1.311 -2.724
Zr -0.037 -0.066 -0.240
Os -1.780 -1.405 -1.844
Au -0.690 -1.242 -4.531
```

For the magnetization, the calculation gives 0.00 μB per cell. The electronic total energy comes out at -8.172 eV/atom. The energy of formation comes out at -0.27 eV per atom.

***

Here is a geometry-optimized ZrOsAu2 structure from the Alexandria database. Energies are from PBE-GGA. Values from VASP.

Cell and atoms, written as Quantum ESPRESSO input:
```
&SYSTEM
  ibrav = 0, nat = 4, ntyp = 3
/
ATOMIC_SPECIES
Au 196.97 Au.upf
Zr 91.22 Zr.upf
Os 190.23 Os.upf
CELL_PARAMETERS angstrom
-1.038 -2.015 -4.081
3.356 -2.063 -2.505
0.092 -4.650 -0.397
ATOMIC_POSITIONS angstrom
Au 0.000 0.000 0.000
Au 0.603 -2.182 -1.746
Zr 1.808 -6.546 -5.237
Os 1.205 -4.364 -3.491
```

For the magnetization, the calculation gives 0.00 μB per cell. The value obtained for the offset from the most stable computed form is 213 meV per atom. The electronic total energy comes out at -6.556 eV/atom. The energy of formation comes out at 0.03 eV per atom.

***

Here is a geometry-optimized Zr2OsAu structure from the Alexandria database. Energies are from PBE-GGA. Values from VASP.

Cell and atoms, written as Quantum ESPRESSO input:
```
&SYSTEM
  ibrav = 0, nat = 4, ntyp = 3
/
ATOMIC_SPECIES
Zr 91.22 Zr.upf
Au 196.97 Au.upf
Os 190.23 Os.upf
CELL_PARAMETERS angstrom
-1.133 2.980 0.515
-1.540 -0.094 -2.838
-5.890 -2.808 3.288
ATOMIC_POSITIONS angstrom
Zr -5.769 -2.750 3.221
Zr -3.066 -1.462 1.712
Au -2.809 0.741 -0.339
Os -5.754 -0.663 1.305
```

For the magnetization, the calculation gives 0.00 μB per cell. The electronic total energy comes out at -8.387 eV/atom. The energy of formation comes out at -0.49 eV per atom.

***

Here is a geometry-optimized ZrOsAu2 structure from the Alexandria database. Energies are from PBE-GGA. Values from VASP.

Cell and atoms, written as Quantum ESPRESSO input:
```
&SYSTEM
  ibrav = 0, nat = 4, ntyp = 3
/
ATOMIC_SPECIES
Au 196.97 Au.upf
Os 190.23 Os.upf
Zr 91.22 Zr.upf
CELL_PARAMETERS angstrom
-0.523 3.696 9.089
-0.879 0.879 9.747
1.804 1.979 9.454
ATOMIC_POSITIONS angstrom
Au 0.402 6.552 28.280
Au 0.100 1.626 7.016
Os 0.201 3.279 14.151
Zr 0.303 4.930 21.276
```

For the magnetization, the calculation gives 0.00 μB per cell. The value obtained for the offset from the most stable computed form is 370 meV per atom. The electronic total energy comes out at -6.398 eV/atom. The energy of formation comes out at 0.18 eV per atom.

***

Here is a geometry-optimized ZrOs2Au structure from the Alexandria database. Energies are from PBE-GGA. Values from VASP.

Cell and atoms, written as Quantum ESPRESSO input:
```
&SYSTEM
  ibrav = 0, nat = 4, ntyp = 3
/
ATOMIC_SPECIES
Os 190.23 Os.upf
Au 196.97 Au.upf
Zr 91.22 Zr.upf
CELL_PARAMETERS angstrom
-4.320 -1.395 -0.624
-0.846 -4.281 -1.397
-1.871 -3.025 2.889
ATOMIC_POSITIONS angstrom
Os 0.000 0.000 0.000
Os -1.759 -2.175 0.217
Au -3.519 -4.350 0.434
Zr -5.278 -6.525 0.651
```

For the magnetization, the calculation gives 0.00 μB per cell. The value obtained for the offset from the most stable computed form is 360 meV per atom. The electronic total energy comes out at -8.267 eV/atom. The energy of formation comes out at 0.30 eV per atom.

***

Here is a geometry-optimized ZrOsAu2 structure from the Alexandria database. Energies are from PBE-GGA. Values from VASP.

Cell and atoms, written as Quantum ESPRESSO input:
```
&SYSTEM
  ibrav = 0, nat = 4, ntyp = 3
/
ATOMIC_SPECIES
Au 196.97 Au.upf
Os 190.23 Os.upf
Zr 91.22 Zr.upf
CELL_PARAMETERS angstrom
5.007 -0.445 0.291
3.636 3.470 0.291
1.543 0.540 3.809
ATOMIC_POSITIONS angstrom
Au 7.639 2.674 3.294
Au 1.543 0.540 3.809
Os 5.092 1.782 2.196
Zr 2.547 0.892 1.097
```

For the magnetization, the calculation gives 0.00 μB per cell. The value obtained for the offset from the most stable computed form is 56 meV per atom. The electronic total energy comes out at -6.713 eV/atom. The energy of formation comes out at -0.13 eV per atom.

***

- Look up the electronic total energy of the tenth one.
  -6.398 eV/atom